[1]
Here is KSn2S after structural relaxation from Alexandria. Energies are from PBE. Values from VASP.

Quantum ESPRESSO input file:
```
&SYSTEM
  ibrav = 0, nat = 8, ntyp = 3
/
ATOMIC_SPECIES
S 32.06 S.upf
K 39.10 K.upf
Sn 118.71 Sn.upf
ATOMIC_POSITIONS angstrom
S 2.335 2.335 0.000
S 2.335 4.670 5.416
K 0.000 0.000 0.000
K 4.670 2.335 5.416
Sn 3.187 1.167 2.708
Sn 1.483 3.502 2.708
Sn 3.502 3.817 8.125
Sn 5.837 5.522 8.125
CELL_PARAMETERS angstrom
4.670 0.000 0.000
0.000 4.670 0.000
2.335 2.335 10.833
```

* Fermi-level density of states: 4.11 states/eV/cell
* spin magnetization: 0.00 μB per atom
* formation energy (no corrections): -252 meV/atom

[2]
Here is K2SnS3 after structural relaxation from Alexandria. Energies are from PBE. Values from VASP.

Quantum ESPRESSO input file:
```
&SYSTEM
  ibrav = 0, nat = 24, ntyp = 3
/
ATOMIC_SPECIES
K 39.10 K.upf
Sn 118.71 Sn.upf
S 32.06 S.upf
ATOMIC_POSITIONS angstrom
K 3.619 1.464 7.118
K 0.755 -0.645 4.025
K 7.234 -0.198 9.494
K 10.097 1.911 12.587
K -1.439 1.300 7.416
K 3.726 2.769 11.401
K 12.291 -0.034 9.195
K 7.127 -1.503 5.211
Sn 2.258 3.716 3.856
Sn 4.692 0.150 2.825
Sn 8.595 -2.450 12.756
Sn 6.161 1.117 13.787
S 0.936 1.789 9.769
S 9.917 -0.523 6.843
S 1.077 2.568 5.534
S 3.857 -1.089 4.641
S 9.776 -1.302 11.078
S 6.996 2.355 11.971
S 6.835 1.635 6.837
S 12.807 -2.907 7.182
S 4.017 -0.368 9.775
S -1.954 4.173 9.430
S 0.911 -1.100 7.782
S 9.942 2.366 8.830
CELL_PARAMETERS angstrom
0.049 5.778 3.974
-3.017 -0.709 7.256
13.821 -3.803 5.381
```

* Fermi-level density of states: 0.00 states/eV/cell
* spin magnetization: 0.00 μB per atom
* formation energy (no corrections): -915 meV/atom

[3]
Here is K2SnS3 after structural relaxation from Alexandria. Energies are from PBE. Values from VASP.

Quantum ESPRESSO input file:
```
&SYSTEM
  ibrav = 0, nat = 12, ntyp = 3
/
ATOMIC_SPECIES
K 39.10 K.upf
Sn 118.71 Sn.upf
S 32.06 S.upf
ATOMIC_POSITIONS angstrom
K 2.677 -6.542 0.621
K 3.084 -3.100 -2.050
K 5.809 -9.258 -0.113
K 6.215 -5.816 -2.784
Sn 3.227 -7.823 -4.365
Sn 5.666 -4.535 2.202
S 5.157 -4.496 -0.109
S 3.735 -7.861 -2.054
S 7.351 -11.524 -2.229
S 0.405 -4.220 -0.579
S 8.488 -8.138 -1.584
S 1.541 -0.834 0.066
CELL_PARAMETERS angstrom
-1.920 -6.799 0.309
4.512 -2.711 -5.301
6.301 -2.847 2.829
```

* Fermi-level density of states: 0.00 states/eV/cell
* spin magnetization: 0.00 μB per atom
* formation energy (no corrections): -905 meV/atom

[4]
Here is KSnS2 after structural relaxation from Alexandria. Energies are from PBE. Values from VASP.

Quantum ESPRESSO input file:
```
&SYSTEM
  ibrav = 0, nat = 4, ntyp = 3
/
ATOMIC_SPECIES
S 32.06 S.upf
K 39.10 K.upf
Sn 118.71 Sn.upf
ATOMIC_POSITIONS angstrom
S 5.838 -10.973 19.997
S 0.729 -1.370 2.497
K 0.000 0.000 0.000
Sn 3.284 -6.172 11.247
CELL_PARAMETERS angstrom
0.040 -4.921 7.683
3.782 -5.332 6.365
2.745 -2.091 8.446
```

* Fermi-level density of states: 2.76 states/eV/cell
* spin magnetization: 0.00 μB per atom
* formation energy (no corrections): -460 meV/atom

[5]
Here is K6Sn2S7 after structural relaxation from Alexandria. Energies are from PBE. Values from VASP.

Quantum ESPRESSO input file:
```
&SYSTEM
  ibrav = 0, nat = 60, ntyp = 3
/
ATOMIC_SPECIES
K 39.10 K.upf
Sn 118.71 Sn.upf
S 32.06 S.upf
ATOMIC_POSITIONS angstrom
K 3.825 -3.306 14.041
K -4.025 5.077 9.453
K 1.973 3.641 4.912
K 0.990 7.005 13.814
K 1.351 7.075 17.826
K -4.136 0.766 9.242
K -0.138 5.079 8.392
K 5.687 -0.503 6.759
K 3.158 3.238 16.115
K -2.814 -2.744 6.627
K -1.198 8.928 10.622
K 3.618 2.995 8.856
K 4.466 1.415 12.527
K -6.648 5.010 13.707
K 0.886 -1.087 6.116
K 4.060 7.080 9.870
K 3.381 -1.940 10.242
K -3.200 2.819 12.726
K -1.710 2.205 5.843
K 4.293 9.333 13.408
K 0.448 3.372 12.614
K 0.327 -3.890 9.532
K -5.420 8.677 9.307
K 7.408 4.257 10.767
Sn -1.835 4.938 16.718
Sn -0.152 1.029 9.247
Sn -2.335 7.125 5.760
Sn 7.086 -0.675 10.496
Sn 0.735 -0.410 13.058
Sn -2.961 6.936 13.235
Sn 0.042 0.660 2.406
Sn 4.947 5.231 13.520
S 1.615 0.778 11.005
S -3.620 5.230 14.983
S -1.548 -0.539 3.965
S 6.316 6.949 12.266
S 0.791 -2.730 12.531
S -1.536 5.783 11.717
S -0.486 2.973 2.605
S 3.995 6.392 15.367
S -1.823 8.848 14.161
S -1.502 0.259 13.653
S -4.638 3.176 6.725
S 10.727 0.134 7.681
S 5.802 -1.508 12.336
S -5.975 3.216 11.121
S 1.106 1.861 7.388
S 1.830 8.848 11.375
S 0.310 4.515 15.760
S -1.238 -1.036 8.740
S -2.494 7.581 8.098
S 6.185 1.356 9.622
S 3.171 -4.961 11.186
S -1.666 2.731 9.951
S -0.967 5.235 5.269
S 2.226 9.412 15.813
S 2.301 0.299 14.732
S -5.100 7.571 12.354
S 2.172 0.014 3.300
S 3.390 4.533 11.834
CELL_PARAMETERS angstrom
-4.479 -5.787 6.587
10.892 0.184 7.568
-5.032 11.811 6.955
```

* Fermi-level density of states: 0.00 states/eV/cell
* spin magnetization: 0.00 μB per atom
* formation energy (no corrections): -1009 meV/atom

[6]
Here is K8SnS6 after structural relaxation from Alexandria. Energies are from PBE. Values from VASP.

Quantum ESPRESSO input file:
```
&SYSTEM
  ibrav = 0, nat = 30, ntyp = 3
/
ATOMIC_SPECIES
K 39.10 K.upf
Sn 118.71 Sn.upf
S 32.06 S.upf
ATOMIC_POSITIONS angstrom
K 3.053 0.000 0.107
K 5.510 4.809 6.153
K 7.047 7.880 1.836
K 1.516 6.548 7.883
K 1.516 3.071 7.883
K 7.047 1.738 1.836
K 4.825 7.737 9.353
K 3.739 6.691 3.307
K 3.739 2.928 3.307
K 4.825 1.881 9.353
K 8.452 7.953 10.323
K 0.111 6.475 4.277
K 0.111 3.143 4.277
K 8.452 1.666 10.323
K 2.720 0.000 5.999
K 5.843 4.809 12.046
Sn 6.949 0.000 5.590
Sn 1.614 4.809 11.636
S 6.124 0.000 11.538
S 2.439 4.809 5.491
S 2.313 0.000 9.016
S 6.250 4.809 2.970
S 0.293 0.000 4.037
S 8.270 4.809 10.084
S 5.082 0.000 3.995
S 3.481 4.809 10.041
S 1.543 6.826 0.891
S 7.020 7.602 6.937
S 7.020 2.017 6.937
S 1.543 2.792 0.891
CELL_PARAMETERS angstrom
8.563 0.000 0.000
0.000 9.619 0.000
0.000 0.000 12.093
```

* Fermi-level density of states: 0.00 states/eV/cell
* spin magnetization: 0.01 μB per atom
* formation energy (no corrections): -1010 meV/atom

[7]
Here is KSnS2 after structural relaxation from Alexandria. Energies are from PBE. Values from VASP.

Quantum ESPRESSO input file:
```
&SYSTEM
  ibrav = 0, nat = 16, ntyp = 3
/
ATOMIC_SPECIES
K 39.10 K.upf
Sn 118.71 Sn.upf
S 32.06 S.upf
ATOMIC_POSITIONS angstrom
K 3.356 4.510 8.617
K 1.119 6.882 1.897
K 1.119 3.085 4.822
K 3.356 0.712 11.542
Sn 3.356 7.033 5.147
Sn 1.119 4.358 11.867
Sn 1.119 0.561 8.291
Sn 3.356 3.236 1.572
S 3.356 1.400 7.078
S 1.119 2.397 0.358
S 1.119 6.194 6.361
S 3.356 5.197 13.081
S 3.356 4.977 3.420
S 1.119 6.414 10.140
S 1.119 2.617 10.018
S 3.356 1.180 3.299
CELL_PARAMETERS angstrom
4.475 0.000 0.000
0.000 7.594 0.000
0.000 0.000 13.439
```

* Fermi-level density of states: 2.64 states/eV/cell
* spin magnetization: 0.00 μB per atom
* formation energy (no corrections): -723 meV/atom

[8]
Here is K4SnS5 after structural relaxation from Alexandria. Energies are from PBE. Values from VASP.

Quantum ESPRESSO input file:
```
&SYSTEM
  ibrav = 0, nat = 10, ntyp = 3
/
ATOMIC_SPECIES
K 39.10 K.upf
Sn 118.71 Sn.upf
S 32.06 S.upf
ATOMIC_POSITIONS angstrom
K -4.784 3.351 6.884
K -7.907 6.599 6.430
K -2.466 1.710 3.356
K -5.589 4.958 2.902
Sn -0.101 0.492 0.219
S -4.964 6.182 8.542
S -7.639 3.325 5.438
S -2.707 4.852 4.289
S -5.382 1.994 1.184
S -0.547 2.659 1.184
CELL_PARAMETERS angstrom
-1.224 5.947 2.647
-7.303 2.332 -0.328
-1.839 -0.006 7.450
```

* Fermi-level density of states: 13.96 states/eV/cell
* spin magnetization: 0.22 μB per atom
* formation energy (no corrections): -709 meV/atom

[9]
Here is KSnS2 after structural relaxation from Alexandria. Energies are from PBE. Values from VASP.

Quantum ESPRESSO input file:
```
&SYSTEM
  ibrav = 0, nat = 4, ntyp = 3
/
ATOMIC_SPECIES
S 32.06 S.upf
K 39.10 K.upf
Sn 118.71 Sn.upf
ATOMIC_POSITIONS angstrom
S -3.802 -2.764 -3.670
S -10.489 -7.624 -10.124
K -7.146 -5.194 -6.897
Sn 0.000 0.000 0.000
CELL_PARAMETERS angstrom
-5.108 -1.468 -5.744
-3.069 -4.909 -5.264
-6.114 -4.011 -2.786
```

* Fermi-level density of states: 3.88 states/eV/cell
* spin magnetization: 0.00 μB per atom
* formation energy (no corrections): -708 meV/atom

[10]
Here is KSnS after structural relaxation from Alexandria. Energies are from PBE. Values from VASP.

Quantum ESPRESSO input file:
```
&SYSTEM
  ibrav = 0, nat = 6, ntyp = 3
/
ATOMIC_SPECIES
K 39.10 K.upf
Sn 118.71 Sn.upf
S 32.06 S.upf
ATOMIC_POSITIONS angstrom
K -1.998 -5.838 1.289
K 0.634 -3.600 3.032
Sn -1.711 -0.717 2.035
Sn 1.599 0.267 5.432
S -2.492 -2.966 2.683
S -0.645 0.328 4.126
CELL_PARAMETERS angstrom
-3.296 2.013 2.649
-3.800 -7.310 -0.806
4.947 -1.428 3.142
```

* spin magnetization: 0.00 μB per atom
* formation energy (no corrections): -666 meV/atom
* polymorph energy (0 for the lowest one): 0 meV/atom

[11]
Here is KSn3S after structural relaxation from Alexandria. Energies are from PBE. Values from VASP.

Quantum ESPRESSO input file:
```
&SYSTEM
  ibrav = 0, nat = 5, ntyp = 3
/
ATOMIC_SPECIES
S 32.06 S.upf
K 39.10 K.upf
Sn 118.71 Sn.upf
ATOMIC_POSITIONS angstrom
S 0.000 0.000 0.000
K 2.756 2.756 2.756
Sn 0.000 2.756 0.000
Sn 0.000 0.000 2.756
Sn 2.756 0.000 0.000
CELL_PARAMETERS angstrom
5.512 0.000 0.000
0.000 5.512 0.000
0.000 0.000 5.512
```

* Fermi-level density of states: 3.31 states/eV/cell
* spin magnetization: 0.00 μB per atom
* formation energy (no corrections): 65 meV/atom
* polymorph energy (0 for the lowest one): 0 meV/atom

[12]
Here is K2SnS3 after structural relaxation from Alexandria. Energies are from PBE. Values from VASP.

Quantum ESPRESSO input file:
```
&SYSTEM
  ibrav = 0, nat = 12, ntyp = 3
/
ATOMIC_SPECIES
S 32.06 S.upf
K 39.10 K.upf
Sn 118.71 Sn.upf
ATOMIC_POSITIONS angstrom
S 7.238 3.633 5.761
S 9.070 7.235 3.714
S 10.341 6.837 7.420
S 4.735 4.558 2.259
S 1.632 1.354 0.600
S 2.903 0.957 4.306
K 7.038 6.578 7.066
K 4.935 1.614 0.955
K 3.931 4.046 5.529
K 8.042 4.146 2.492
Sn 7.539 1.303 5.552
Sn 4.433 6.888 2.469
CELL_PARAMETERS angstrom
6.783 0.013 0.044
2.905 6.961 -0.013
2.285 1.217 7.989
```

* Fermi-level density of states: 0.00 states/eV/cell
* spin magnetization: 0.00 μB per atom
* formation energy (no corrections): -929 meV/atom

[13]
Here is KSnS2 after structural relaxation from Alexandria. Energies are from PBE. Values from VASP.

Quantum ESPRESSO input file:
```
&SYSTEM
  ibrav = 0, nat = 32, ntyp = 3
/
ATOMIC_SPECIES
K 39.10 K.upf
Sn 118.71 Sn.upf
S 32.06 S.upf
ATOMIC_POSITIONS angstrom
K 1.788 5.907 10.511
K 5.365 3.183 4.709
K 1.788 1.362 12.319
K 5.365 7.728 2.901
K 1.788 8.999 5.469
K 5.365 0.091 9.751
K 1.788 4.454 2.141
K 5.365 4.636 13.079
Sn 5.365 3.607 8.221
Sn 5.365 7.013 6.527
Sn 1.788 2.077 8.693
Sn 5.365 2.468 1.083
Sn 1.788 6.622 14.137
Sn 5.365 8.153 14.609
Sn 1.788 0.938 0.611
Sn 1.788 5.483 6.999
S 3.618 7.596 12.801
S 3.618 3.050 10.030
S 0.042 6.040 5.191
S 7.112 7.596 12.801
S 3.535 1.495 2.419
S 3.535 6.040 5.191
S 7.112 3.050 10.030
S 0.042 1.495 2.419
S 1.788 4.279 13.976
S 5.365 4.811 1.244
S 1.788 8.824 8.854
S 5.365 6.145 8.797
S 1.788 7.490 1.187
S 5.365 1.600 14.033
S 1.788 2.945 6.423
S 5.365 0.266 6.366
CELL_PARAMETERS angstrom
7.154 0.000 0.000
0.000 9.090 0.000
0.000 0.000 15.220
```

* Fermi-level density of states: 0.00 states/eV/cell
* spin magnetization: 0.00 μB per atom
* formation energy (no corrections): -801 meV/atom

[14]
Here is K2Sn2S5 after structural relaxation from Alexandria. Energies are from PBE. Values from VASP.

Quantum ESPRESSO input file:
```
&SYSTEM
  ibrav = 0, nat = 9, ntyp = 3
/
ATOMIC_SPECIES
K 39.10 K.upf
Sn 118.71 Sn.upf
S 32.06 S.upf
ATOMIC_POSITIONS angstrom
K -5.499 3.232 1.770
K -2.098 2.547 -1.802
Sn -2.583 5.829 1.786
Sn -5.014 -0.049 -1.818
S -4.194 -1.036 0.575
S -3.403 6.816 -0.607
S -2.216 3.607 1.224
S -5.382 2.172 -1.255
S 0.000 0.000 0.000
CELL_PARAMETERS angstrom
-0.978 1.129 -5.100
-5.918 -2.840 3.275
-0.701 7.490 1.793
```

* Fermi-level density of states: 2.60 states/eV/cell
* spin magnetization: 0.00 μB per atom
* formation energy (no corrections): -592 meV/atom

[15]
Here is K2Sn3S8 after structural relaxation from Alexandria. Energies are from PBE. Values from VASP.

Quantum ESPRESSO input file:
```
&SYSTEM
  ibrav = 0, nat = 13, ntyp = 3
/
ATOMIC_SPECIES
K 39.10 K.upf
Sn 118.71 Sn.upf
S 32.06 S.upf
ATOMIC_POSITIONS angstrom
K -3.942 0.454 1.380
K -3.521 -3.685 3.480
Sn -1.207 -2.950 -1.042
Sn 0.479 -0.770 1.623
Sn 1.406 -2.257 4.760
S -2.457 -6.233 1.958
S -5.006 3.002 2.902
S -3.284 -4.514 -1.170
S -4.179 1.283 6.030
S -5.699 -1.147 3.573
S -6.795 0.612 -0.136
S -0.668 -3.843 4.997
S -1.764 -2.084 1.287
CELL_PARAMETERS angstrom
-2.414 -5.899 -2.084
1.886 -3.026 6.383
-6.935 5.694 0.561
```

* Fermi-level density of states: 3.08 states/eV/cell
* spin magnetization: 0.15 μB per atom
* formation energy (no corrections): -459 meV/atom